i.
DyLu2Tc, optimized geometry, DFT PBE; SG = P4/mmm (123); DOS at the Fermi energy = 6.0 states/eV per cell
1.0
3.397 0.000 0.000
0.000 3.397 0.000
0.000 0.000 8.742
Dy Lu Tc
1 2 1
Cartesian
1.698 1.698 4.371
0.000 0.000 1.611
0.000 0.000 7.130
1.698 1.698 0.000

ii.
DyLu2Tc, optimized geometry, DFT PBE; SG = R-3m (166); DOS at the Fermi energy = 3.9 states/eV per cell
1.0
4.796 0.000 0.000
2.398 4.154 0.000
2.398 1.385 4.884
Dy Lu Tc
1 2 1
Cartesian
4.796 2.769 2.442
2.398 1.385 0.877
7.194 4.154 4.007
0.000 0.000 0.000

Most stable: i. Least stable: ii.

i.
DyLuTe2, optimized geometry, DFT PBE; SG = R-3m (166); DOS at the Fermi energy = 2.2 states/eV per cell
1.0
4.269 0.000 0.000
2.134 3.697 0.000
2.134 1.232 7.189
Dy Te Lu
1 2 1
Cartesian
4.269 2.465 3.595
6.403 3.697 5.448
2.134 1.232 1.741
0.000 0.000 0.000

ii.
DyLuTe2, optimized geometry, DFT PBE; SG = Fm-3m (225); DOS at the Fermi energy = 2.4 states/eV per cell
1.0
5.309 0.000 0.000
2.655 4.598 0.000
2.655 1.533 4.335
Dy Te Lu
1 2 1
Cartesian
0.000 0.000 0.000
7.964 4.598 3.251
2.655 1.533 1.084
5.309 3.065 2.168

Most stable: i. Least stable: ii.

i.
DyLuTh, optimized geometry, DFT PBE; SG = I4mm (107); DOS at the Fermi energy = 4.5 states/eV per cell
1.0
3.552 0.000 0.000
0.000 3.552 0.000
-1.776 -1.776 7.426
Th Dy Lu
1 1 1
Cartesian
0.000 0.000 4.935
1.776 1.776 7.376
1.776 1.776 2.542

ii.
DyLuTh, optimized geometry, DFT PBE; SG = P3m1 (156); DOS at the Fermi energy = 4.3 states/eV per cell
1.0
3.550 0.000 0.000
-1.775 3.074 0.000
0.000 0.000 8.558
Dy Lu Th
1 1 1
Cartesian
0.000 2.049 5.731
1.775 1.025 2.810
0.000 0.000 0.017

Most stable: ii. Least stable: i.

i.
Dy2TmLu, optimized geometry, DFT PBE; SG = P4/mmm (123); DOS at the Fermi energy = 5.4 states/eV per cell
1.0
-1.204 -2.287 -2.363
2.652 0.813 -2.138
5.492 -7.132 4.103
Dy Lu Tm
2 1 1
Cartesian
1.368 -1.777 1.022
4.124 -5.355 3.081
0.724 -0.737 -2.251
3.470 -4.303 -0.199

ii.
Dy2TmLu, optimized geometry, DFT PBE; SG = Fm-3m (225); DOS at the Fermi energy = 8.4 states/eV per cell
1.0
-4.705 -2.922 -0.746
0.166 -5.585 -0.099
-2.167 -2.935 4.233
Dy Tm Lu
2 1 1
Cartesian
-5.029 -8.582 2.541
-1.676 -2.861 0.847
-3.353 -5.721 1.694
0.000 0.000 0.000

Most stable: i. Least stable: ii.